{
  "formula": "LiEr2MnO6",
  "functional": "PBE with a Hubbard U",
  "state": "optimized geometry",
  "dft_energy_ev_per_atom": -7.320,
  "sg": "No. 14",
  "lattice": [[5.226, 0.000, 0.000], [0.000, 5.657, 0.000], [-5.050, 0.000, 7.379]],
  "species": ["Li", "Li", "Er", "Er", "Er", "Er", "Mn", "Mn", "O", "O", "O", "O", "O", "O", "O", "O", "O", "O", "O", "O"],
  "fractional_positions": [[0.000, 0.000, 0.000], [0.000, 0.500, 0.500], [0.224, 0.083, 0.747], [0.224, 0.417, 0.247], [0.776, 0.583, 0.753], [0.776, 0.917, 0.253], [0.500, 0.000, 0.500], [0.500, 0.500, 0.000], [0.145, 0.178, 0.446], [0.145, 0.322, 0.946], [0.266, 0.709, 0.438], [0.266, 0.791, 0.938], [0.376, 0.041, 0.256], [0.376, 0.459, 0.756], [0.624, 0.541, 0.244], [0.624, 0.959, 0.744], [0.734, 0.209, 0.062], [0.734, 0.291, 0.562], [0.855, 0.678, 0.054], [0.855, 0.822, 0.554]]
}